# 1
Material: Cs2SiCl5F
Method: DFT, GGA-PBE
State: relaxed

a = 7.344 Å, b = 7.344 Å, c = 7.344 Å
α = 89.38°, β = 120.36°, γ = 120.36°
Atoms (fractional coordinates):
Cs  0.500  0.245  0.745
Cs  0.500  0.745  0.245
Si  0.000  0.994  0.994
Cl  0.437  0.212  0.212
Cl  0.563  0.775  0.775
Cl  0.000  0.775  0.212
Cl  0.000  0.212  0.775
Cl  0.000  0.208  0.208
F  0.000  0.833  0.833

* energy: -3.8414 eV per atom
* magnetization: 0.00 μB per cell
* symmetry: No. 107

# 2
Material: Cs2SiCl4F2
Method: DFT, GGA-PBE
State: relaxed

a = 6.085 Å, b = 7.093 Å, c = 7.093 Å
α = 59.19°, β = 95.46°, γ = 95.46°
Atoms (fractional coordinates):
Cs  0.250  0.656  0.656
Cs  0.750  0.344  0.344
Si  0.500  0.000  0.000
Cl  0.283  0.684  0.142
Cl  0.717  0.858  0.316
Cl  0.717  0.316  0.858
Cl  0.283  0.142  0.684
F  0.344  0.103  0.103
F  0.656  0.897  0.897

* energy: -4.0876 eV per atom
* magnetization: 0.00 μB per cell
* symmetry: No. 12

# 3
Material: Cs2SiCl6F
Method: DFT, GGA-PBE
State: relaxed

a = 7.450 Å, b = 7.450 Å, c = 7.449 Å
α = 60.00°, β = 60.00°, γ = 90.00°
Last column: magnetic moment on the atom in μB.
Atoms (fractional coordinates):
Cs  0.750  0.250  0.500  0.00
Cs  0.250  0.750  0.500  0.00
Si  0.000  0.000  0.000  0.00
F  0.500  0.500  0.000  0.47
Cl  0.212  0.212  0.576  0.06
Cl  0.788  0.788  0.424  0.06
Cl  0.212  0.212  0.000  0.06
Cl  0.788  0.788  0.000  0.06
Cl  0.788  0.212  0.000  0.06
Cl  0.212  0.788  0.000  0.06

* energy: -3.3469 eV per atom
* magnetization: 1.00 μB per cell
* symmetry: No. 225

# 4
Material: Cs2SiCl2F4
Method: DFT, GGA-PBE
State: relaxed

a = 6.317 Å, b = 6.433 Å, c = 6.433 Å
α = 65.22°, β = 83.85°, γ = 83.85°
Atoms (fractional coordinates):
Cs  0.283  0.674  0.674
Cs  0.717  0.326  0.326
Si  0.500  0.000  0.000
Cl  0.243  0.170  0.170
Cl  0.757  0.830  0.830
F  0.365  0.758  0.106
F  0.635  0.894  0.242
F  0.635  0.242  0.894
F  0.365  0.106  0.758

* energy: -4.6385 eV per atom
* magnetization: 0.00 μB per cell
* symmetry: No. 12

no.,V (Å³/cell)
1,278.5
2,261.4
3,292.3
4,235.4